PBE ZnMoPt2, relaxed; volume = 15.37 Å³ per atom; total moment = 0.0 μB per formula unit; energy of formation from the pure elements = -0.14 eV per atom; D(E_F) = 0.88 states/eV/atom; crystal system = orthorhombic
1.0
5.411 0.002 0.001
2.667 4.708 -0.001
-3.404 -3.444 2.415
Mo Pt Zn
1 2 1
Direct
0.260 0.760 0.500
0.005 0.005 0.000
0.732 0.232 0.500
0.504 0.504 0.000